(1)
## AcSiRu (PBE-GGA)

Data for AcSiRu after structural relaxation.

The total energy is -6.99 eV per atom. For the energy relative to the lowest polymorph listed for this composition, the calculation gives 0.0 meV/atom. The calculation puts the density of states at the Fermi level at 0.851 states/eV per atom. The formation energy (no corrections) is -0.72 eV/atom. The spin magnetization comes out at 0.00 μB/atom.

The space group is P4/nmm (No. 129, origin choice 2) and the conventional cell measures 4.291, 4.291 and 7.643 Å, with angles of 90.00, 90.00 and 90.00 degrees. The inequivalent atoms are Ac at (0.250, 0.250, 0.188), Si at (0.250, 0.250, 0.652) and Ru at (0.250, 0.750, 0.500).



(2)
## Ac4Si3Ru (PBE-GGA)

Data for Ac4Si3Ru after structural relaxation.

The total energy is -5.75 eV per atom. The calculation puts the density of states at the Fermi level at 0.819 states/eV per atom. The formation energy (no corrections) is -0.50 eV/atom. The spin magnetization comes out at 0.00 μB/atom.

The space group is Pmm2 (No. 25) and the conventional cell measures 4.092, 4.688 and 11.682 Å, with angles of 90.00, 90.00 and 90.00 degrees. The inequivalent atoms are Ac at (0.000, 0.000, 0.000), Ac at (0.000, 0.500, 0.493), Ac at (0.500, 0.000, 0.276), Ac at (0.500, 0.500, 0.781), Si at (0.000, 0.000, 0.699), Si at (0.000, 0.500, 0.191), Si at (0.500, 0.000, 0.573) and Ru at (0.500, 0.500, 0.072).



(3)
## AcSi2Ru (PBE-GGA)

Data for AcSi2Ru after structural relaxation.

The total energy is -6.73 eV per atom. For the energy relative to the lowest polymorph listed for this composition, the calculation gives 0.0 meV/atom. The calculation puts the density of states at the Fermi level at 0.540 states/eV per atom. The formation energy (no corrections) is -0.67 eV/atom. The spin magnetization comes out at 0.00 μB/atom.

The space group is Pnma (No. 62) and the conventional cell measures 7.324, 4.228 and 10.583 Å, with angles of 90.00, 90.00 and 90.00 degrees. The inequivalent atoms are Ac at (0.153, 0.250, 0.121), Si at (0.165, 0.250, 0.418), Si at (0.166, 0.250, 0.813) and Ru at (0.005, 0.750, 0.388).



(4)
## Ac3Si4Ru2 (PBE-GGA)

Data for Ac3Si4Ru2 after structural relaxation.

The total energy is -6.47 eV per atom. The calculation puts the density of states at the Fermi level at 0.691 states/eV per atom. The formation energy (no corrections) is -0.63 eV/atom. The spin magnetization comes out at 0.00 μB/atom.

The space group is C2/m (No. 12) and the conventional cell measures 11.965, 4.258 and 8.523 Å, with angles of 90.00, 107.49 and 90.00 degrees. The inequivalent atoms are Ac at (0.000, 0.000, 0.000), Ac at (0.105, 0.500, 0.691), Si at (0.125, 0.000, 0.399), Si at (0.222, 0.500, 0.078) and Ru at (0.202, 0.500, 0.358).



(5)
## AcSiRu (PBE-GGA)

Data for AcSiRu after structural relaxation.

The total energy is -6.81 eV per atom. For the energy relative to the lowest polymorph listed for this composition, the calculation gives 176.3 meV/atom. The calculation puts the density of states at the Fermi level at 0.915 states/eV per atom. The formation energy (no corrections) is -0.54 eV/atom. The spin magnetization comes out at 0.00 μB/atom.

The space group is P-6m2 (No. 187) and the conventional cell measures 4.1711, 4.1711 and 4.6561 Å, with angles of 90.00, 90.00 and 120.00 degrees. The inequivalent atoms are Ac at (0.0000, 0.0000, 0.0000), Si at (0.6667, 0.3333, 0.5000) and Ru at (0.3333, 0.6667, 0.5000).



(6)
## Ac2SiRu (PBE-GGA)

Data for Ac2SiRu after structural relaxation.

The total energy is -6.20 eV per atom. The calculation puts the density of states at the Fermi level at 0.878 states/eV per atom. The formation energy (no corrections) is -0.47 eV/atom. The spin magnetization comes out at 0.00 μB/atom.

The space group is Cm (No. 8) and the conventional cell measures 7.408, 4.275 and 8.355 Å, with angles of 90.00, 107.02 and 90.00 degrees. The inequivalent atoms are Ac at (0.000, 0.000, 0.000), Ac at (0.168, 0.000, 0.507), Si at (0.251, 0.500, 0.254) and Ru at (0.418, 0.000, 0.255).



(7)
## AcSi2Ru (PBE-GGA)

Data for AcSi2Ru after structural relaxation.

The total energy is -6.72 eV per atom. For the energy relative to the lowest polymorph listed for this composition, the calculation gives 5.2 meV/atom. The calculation puts the density of states at the Fermi level at 0.538 states/eV per atom. The formation energy (no corrections) is -0.66 eV/atom. The spin magnetization comes out at 0.00 μB/atom.

The space group is R-3m (No. 166, hexagonal axes) and the conventional cell measures 4.1370, 4.1370 and 16.7375 Å, with angles of 90.00, 90.00 and 120.00 degrees. The inequivalent atoms are Ac at (0.0000, 0.0000, 0.0000), Si at (0.0000, 0.0000, 0.2044) and Ru at (0.0000, 0.0000, 0.5000).



(8)
## Ac2SiRu (PBE-GGA)

Data for Ac2SiRu after structural relaxation.

The total energy is -5.83 eV per atom. The calculation puts the density of states at the Fermi level at 0.566 states/eV per atom. The formation energy (no corrections) is -0.10 eV/atom. The spin magnetization comes out at 0.00 μB/atom.

The space group is P4/mmm (No. 123) and the conventional cell measures 5.078, 5.078 and 4.081 Å, with angles of 90.00, 90.00 and 90.00 degrees. The inequivalent atoms are Ac at (0.000, 0.500, 0.000), Si at (0.000, 0.000, 0.500) and Ru at (0.500, 0.500, 0.500).



(9)
## AcSiRu (PBE-GGA)

Data for AcSiRu after structural relaxation.

The total energy is -6.88 eV per atom. For the energy relative to the lowest polymorph listed for this composition, the calculation gives 113.0 meV/atom. The calculation puts the density of states at the Fermi level at 0.360 states/eV per atom. The formation energy (no corrections) is -0.61 eV/atom. The spin magnetization comes out at 0.00 μB/atom.

The space group is P2_1/c (No. 14) and the conventional cell measures 6.592, 6.841 and 7.886 Å, with angles of 90.00, 125.01 and 90.00 degrees. The inequivalent atoms are Ac at (0.201, 0.119, 0.396), Si at (0.345, 0.648, 0.595) and Ru at (0.362, 0.609, 0.306).



(10)
## AcSi3Ru (PBE-GGA)

Data for AcSi3Ru after structural relaxation.

The total energy is -6.37 eV per atom. For the energy relative to the lowest polymorph listed for this composition, the calculation gives 199.0 meV/atom. The calculation puts the density of states at the Fermi level at 0.413 states/eV per atom. The formation energy (no corrections) is -0.44 eV/atom. The spin magnetization comes out at 0.00 μB/atom.

The space group is P2_1/c (No. 14) and the conventional cell measures 8.024, 5.670 and 11.961 Å, with angles of 90.00, 131.39 and 90.00 degrees. The inequivalent atoms are Ac at (0.244, 0.201, 0.179), Si at (0.004, 0.180, 0.330), Si at (0.247, 0.644, 0.027), Si at (0.494, 0.185, 0.546) and Ru at (0.260, 0.518, 0.420).



(11)
## AcSi3Ru (PBE-GGA)

Data for AcSi3Ru after structural relaxation.

The total energy is -6.57 eV per atom. For the energy relative to the lowest polymorph listed for this composition, the calculation gives 0.0 meV/atom. The calculation puts the density of states at the Fermi level at 0.414 states/eV per atom. The formation energy (no corrections) is -0.64 eV/atom. The spin magnetization comes out at 0.00 μB/atom.

The space group is I4mm (No. 107) and the conventional cell measures 4.362, 4.362 and 10.036 Å, with angles of 90.00, 90.00 and 90.00 degrees. The inequivalent atoms are Ac at (0.000, 0.000, 0.000), Si at (0.000, 0.000, 0.589), Si at (0.000, 0.500, 0.243) and Ru at (0.000, 0.000, 0.348).



(12)
## Ac2Si7Ru12 (PBE-GGA)

Data for Ac2Si7Ru12 after structural relaxation.

The total energy is -8.01 eV per atom. The calculation puts the density of states at the Fermi level at 1.035 states/eV per atom. The formation energy (no corrections) is -0.51 eV/atom. The spin magnetization comes out at 0.00 μB/atom.

The space group is P-6 (No. 174) and the conventional cell measures 9.7553, 9.7553 and 4.0044 Å, with angles of 90.00, 90.00 and 120.00 degrees. The inequivalent atoms are Ac at (0.0000, 0.0000, 0.0000), Ac at (0.3333, 0.6667, 0.5000), Si at (0.0585, 0.4324, 0.0000), Si at (0.2808, 0.2415, 0.5000), Si at (0.6667, 0.3333, 0.0000), Ru at (0.0477, 0.2827, 0.5000), Ru at (0.0994, 0.7020, 0.0000), Ru at (0.3952, 0.1912, 0.0000) and Ru at (0.5624, 0.4339, 0.5000).



Number 8 is which compound? Ac2SiRu



Please write out number 9 again, unchanged.
## AcSiRu (PBE-GGA)

Data for AcSiRu after structural relaxation.

The total energy is -6.88 eV per atom. For the energy relative to the lowest polymorph listed for this composition, the calculation gives 113.0 meV/atom. The calculation puts the density of states at the Fermi level at 0.360 states/eV per atom. The formation energy (no corrections) is -0.61 eV/atom. The spin magnetization comes out at 0.00 μB/atom.

The space group is P2_1/c (No. 14) and the conventional cell measures 6.592, 6.841 and 7.886 Å, with angles of 90.00, 125.01 and 90.00 degrees. The inequivalent atoms are Ac at (0.201, 0.119, 0.396), Si at (0.345, 0.648, 0.595) and Ru at (0.362, 0.609, 0.306).